Computed, not measured: a relaxed structure of NpNiPd at the PBE level of DFT.

Calculated values
**Spin magnetization**: 14.2 μB per cell
**ΔH_f (0 K)**: -0.1 eV per formula unit

Cell and atoms, written as CIF:
```
data_NpNiPd
_chemical_formula_sum 'Np4 Ni4 Pd4'
_symmetry_space_group_name_H-M 'A m a 2'
_symmetry_Int_Tables_number 40
_symmetry_space_group_name_Hall 'A 2 -2a'
_cell_length_a 4.9510
_cell_length_b 5.5928
_cell_length_c 7.6067
_cell_angle_alpha 90.00
_cell_angle_beta 90.00
_cell_angle_gamma 90.00
loop_
_atom_site_label
_atom_site_type_symbol
_atom_site_fract_x
_atom_site_fract_y
_atom_site_fract_z
_atom_site_occupancy
Np1 Np 0.2500 0.1290 0.0000 1
Ni1 Ni 0.0000 0.0000 0.6755 1
Pd1 Pd 0.2500 0.1349 0.3748 1
```


Computed, not measured: a relaxed structure of Si3Ru2 at the PBE level of DFT.

Calculated values
**Raw formation energy**: -0.613 eV/atom
**Spin magnetization**: 0.0 μB per cell

Cell and atoms, written as CIF:
```
data_Si3Ru2
_chemical_formula_sum 'Si12 Ru8'
_symmetry_space_group_name_H-M 'P -4 c 2'
_symmetry_Int_Tables_number 116
_symmetry_space_group_name_Hall 'P -4 -2c'
_cell_length_a 5.5981
_cell_length_b 5.5981
_cell_length_c 8.9266
_cell_angle_alpha 90.00
_cell_angle_beta 90.00
_cell_angle_gamma 90.00
loop_
_atom_site_label
_atom_site_type_symbol
_atom_site_fract_x
_atom_site_fract_y
_atom_site_fract_z
_atom_site_occupancy
Si1 Si 0.1444 0.2930 0.4093 1
Si2 Si 0.3295 0.3295 0.7500 1
Ru1 Ru 0.0000 0.0000 0.2500 1
Ru2 Ru 0.0000 0.5000 0.1276 1
Ru3 Ru 0.5000 0.5000 0.0000 1
```


Computed, not measured: a relaxed structure of In3H2F5 at the PBE level of DFT.

Calculated values
**Total DFT energy (no corrections)**: -4.0439 eV per atom
**Spin magnetization**: 0.0 μB per cell

Cell and atoms, written as CIF:
```
data_In3H2F5
_chemical_formula_sum 'In12 H8 F20'
_symmetry_space_group_name_H-M 'C 1 2/c 1'
_symmetry_Int_Tables_number 15
_symmetry_space_group_name_Hall '-C 2yc'
_cell_length_a 13.8754
_cell_length_b 8.1218
_cell_length_c 5.7563
_cell_angle_alpha 90.00
_cell_angle_beta 108.29
_cell_angle_gamma 90.00
loop_
_atom_site_label
_atom_site_type_symbol
_atom_site_fract_x
_atom_site_fract_y
_atom_site_fract_z
_atom_site_occupancy
In1 In 0.0000 0.1358 0.2500 1
In2 In 0.1551 0.3246 0.9091 1
H1 H 0.1000 0.2397 0.1778 1
F1 F 0.0000 0.3965 0.7500 1
F2 F 0.0804 0.0886 0.6532 1
F3 F 0.1719 0.4352 0.5826 1
```


Computed, not measured: a relaxed structure of Co2P2N at the PBE level of DFT.

Calculated values
**Raw formation energy**: -0.063 eV/atom
**Spin magnetization**: 1.4 μB per cell
**E above lowest polymorph**: 1.00 eV per formula unit

Cell and atoms, written as CIF:
```
data_Co2P2N
_chemical_formula_sum 'Co6 P6 N3'
_symmetry_space_group_name_H-M 'R 3 m'
_symmetry_Int_Tables_number 160
_symmetry_space_group_name_Hall 'R 3 -2"'
_cell_length_a 2.7628
_cell_length_b 2.7628
_cell_length_c 23.4933
_cell_angle_alpha 90.00
_cell_angle_beta 90.00
_cell_angle_gamma 120.00
loop_
_atom_site_label
_atom_site_type_symbol
_atom_site_fract_x
_atom_site_fract_y
_atom_site_fract_z
_atom_site_occupancy
Co1 Co 0.0000 0.0000 0.0000 1
Co2 Co 0.0000 0.0000 0.1343 1
P1 P 0.0000 0.0000 0.4045 1
P2 P 0.0000 0.0000 0.5935 1
N1 N 0.0000 0.0000 0.2192 1
```


Computed, not measured: a relaxed structure of LuMgZr at the PBE level of DFT.

Calculated values
**Spin magnetization**: 0.0 μB per cell
**ΔH_f (0 K)**: 0.1 eV per formula unit
**E above lowest polymorph**: 0.20 eV per formula unit

Cell and atoms, written as CIF:
```
data_LuMgZr
_chemical_formula_sum 'Lu1 Mg1 Zr1'
_symmetry_space_group_name_H-M 'P 3 m 1'
_symmetry_Int_Tables_number 156
_symmetry_space_group_name_Hall 'P 3 -2"'
_cell_length_a 3.2838
_cell_length_b 3.2838
_cell_length_c 8.1229
_cell_angle_alpha 90.00
_cell_angle_beta 90.00
_cell_angle_gamma 120.00
loop_
_atom_site_label
_atom_site_type_symbol
_atom_site_fract_x
_atom_site_fract_y
_atom_site_fract_z
_atom_site_occupancy
Lu1 Lu 0.0000 0.0000 0.0000 1
Mg1 Mg 0.6667 0.3333 0.3536 1
Zr1 Zr 0.3333 0.6667 0.6808 1
```


Computed, not measured: a relaxed structure of Pr8TcHg2 at the PBE level of DFT.

Calculated values
**Spin magnetization**: 0.0 μB per cell
**ΔH_f (0 K)**: -1.3 eV per formula unit
**E above lowest polymorph**: 0.00 eV per formula unit

Cell and atoms, written as CIF:
```
data_Pr8TcHg2
_chemical_formula_sum 'Pr16 Tc2 Hg4'
_symmetry_space_group_name_H-M 'C 1 2/m 1'
_symmetry_Int_Tables_number 12
_symmetry_space_group_name_Hall '-C 2y'
_cell_length_a 18.2410
_cell_length_b 5.3423
_cell_length_c 7.2124
_cell_angle_alpha 90.00
_cell_angle_beta 102.77
_cell_angle_gamma 90.00
loop_
_atom_site_label
_atom_site_type_symbol
_atom_site_fract_x
_atom_site_fract_y
_atom_site_fract_z
_atom_site_occupancy
Pr1 Pr 0.0200 0.0000 0.2827 1
Pr2 Pr 0.0892 0.5000 0.9412 1
Pr3 Pr 0.1524 0.5000 0.4619 1
Pr4 Pr 0.2005 0.0000 0.8020 1
Tc1 Tc 0.0000 0.5000 0.5000 1
Hg1 Hg 0.1889 0.0000 0.2266 1
```


What is the spin magnetization in the fourth record?
1.4 μB per cell